# BaPuHg2 PBE-GGA optimized geometry
# Theoretical density   10.35 g/cm³
# Fermi-level density of states   9.88 states/eV/cell
# DFT formation energy   -1.10 eV per formula unit
data_BaPuHg2
_cell_length_a 3.938
_cell_length_b 3.938
_cell_length_c 8.096
_cell_angle_alpha 90.00
_cell_angle_beta 90.00
_cell_angle_gamma 90.00
_space_group_name_H-M_alt 'P 4/m m m'
_space_group_IT_number 123
_space_group_name_Hall '-P 4 2'
loop_
_atom_site_label
_atom_site_fract_x
_atom_site_fract_y
_atom_site_fract_z
Ba1 0.000 0.000 0.000
Pu1 0.000 0.000 0.500
Hg1 0.500 0.500 0.283

=====

# BaPuHgSb PBE-GGA optimized geometry
# Theoretical density   9.01 g/cm³
# Fermi-level density of states   56.64 states/eV/cell
# Formation energy (no corrections)   -43 kJ per mole of atoms
data_BaPuHgSb
_cell_length_a 8.034
_cell_length_b 8.034
_cell_length_c 8.034
_cell_angle_alpha 90.00
_cell_angle_beta 90.00
_cell_angle_gamma 90.00
_space_group_name_H-M_alt 'F -4 3 m'
_space_group_IT_number 216
_space_group_name_Hall 'F -4 2 3'
loop_
_atom_site_label
_atom_site_fract_x
_atom_site_fract_y
_atom_site_fract_z
Ba1 0.000 0.000 0.000
Pu1 0.000 0.000 0.500
Hg1 0.250 0.250 0.250
Sb1 0.250 0.250 0.750

=====

# BaPuSnHg PBE-GGA optimized geometry
# Theoretical density   8.91 g/cm³
# Fermi-level density of states   54.69 states/eV/cell
# DFT formation energy   -1.21 eV per formula unit
data_BaPuSnHg
_cell_length_a 8.054
_cell_length_b 8.054
_cell_length_c 8.054
_cell_angle_alpha 90.00
_cell_angle_beta 90.00
_cell_angle_gamma 90.00
_space_group_name_H-M_alt 'F -4 3 m'
_space_group_IT_number 216
_space_group_name_Hall 'F -4 2 3'
loop_
_atom_site_label
_atom_site_fract_x
_atom_site_fract_y
_atom_site_fract_z
Ba1 0.000 0.000 0.000
Pu1 0.000 0.000 0.500
Sn1 0.250 0.250 0.750
Hg1 0.250 0.250 0.250

=====

# Rb2Ba2Hg PBE-GGA optimized geometry
# Theoretical density   3.49 g/cm³
# Fermi-level density of states   7.67 states/eV/cell
# DFT formation energy   0.60 eV per formula unit
data_Rb2Ba2Hg
_cell_length_a 9.132
_cell_length_b 9.132
_cell_length_c 7.366
_cell_angle_alpha 90.00
_cell_angle_beta 90.00
_cell_angle_gamma 90.00
_space_group_name_H-M_alt 'P 4/m b m'
_space_group_IT_number 127
_space_group_name_Hall '-P 4 2ab'
loop_
_atom_site_label
_atom_site_fract_x
_atom_site_fract_y
_atom_site_fract_z
Rb1 0.151 0.349 0.000
Ba1 0.180 0.680 0.500
Hg1 0.000 0.000 0.000

=====

# Rb2BaHg2 PBE-GGA optimized geometry
# Theoretical density   4.93 g/cm³
# Fermi-level density of states   3.85 states/eV/cell
# DFT formation energy   -1.05 eV per formula unit
data_Rb2BaHg2
_cell_length_a 8.975
_cell_length_b 8.975
_cell_length_c 5.929
_cell_angle_alpha 90.00
_cell_angle_beta 90.00
_cell_angle_gamma 90.00
_space_group_name_H-M_alt 'P 4/m b m'
_space_group_IT_number 127
_space_group_name_Hall '-P 4 2ab'
loop_
_atom_site_label
_atom_site_fract_x
_atom_site_fract_y
_atom_site_fract_z
Rb1 0.168 0.332 0.000
Ba1 0.000 0.000 0.500
Hg1 0.121 0.621 0.500

=====

# RbBaHg4 PBE-GGA optimized geometry
# Theoretical density   8.78 g/cm³
# Fermi-level density of states   18.89 states/eV/cell
# DFT formation energy   -1.59 eV per formula unit
data_RbBaHg4
_cell_length_a 9.188
_cell_length_b 9.188
_cell_length_c 9.188
_cell_angle_alpha 90.00
_cell_angle_beta 90.00
_cell_angle_gamma 90.00
_space_group_name_H-M_alt 'F -4 3 m'
_space_group_IT_number 216
_space_group_name_Hall 'F -4 2 3'
loop_
_atom_site_label
_atom_site_fract_x
_atom_site_fract_y
_atom_site_fract_z
Rb1 0.000 0.000 0.000
Ba1 0.250 0.250 0.250
Hg1 0.125 0.125 0.625

=====

# RbBaHg10 PBE-GGA optimized geometry
# Theoretical density   9.93 g/cm³
# Fermi-level density of states   5.04 states/eV/cell
# DFT formation energy   -2.46 eV per formula unit
data_RbBaHg10
_cell_length_a 5.427
_cell_length_b 6.249
_cell_length_c 10.988
_cell_angle_alpha 90.00
_cell_angle_beta 90.00
_cell_angle_gamma 90.00
_space_group_name_H-M_alt 'P m m m'
_space_group_IT_number 47
loop_
_space_group_symop_operation_xyz
'x,y,z'
'-x,-y,-z'
'-x,-y,z'
'x,y,-z'
'x,-y,-z'
'-x,y,z'
'-x,y,-z'
'x,-y,z'
loop_
_atom_site_label
_atom_site_fract_x
_atom_site_fract_y
_atom_site_fract_z
Rb1 0.000 0.000 0.000
Ba1 0.000 0.500 0.500
Hg1 0.000 0.000 0.334
Hg2 0.000 0.500 0.168
Hg3 0.500 0.000 0.500
Hg4 0.500 0.256 0.260
Hg5 0.500 0.500 0.000

=====

# Rb2Ba2Hg PBE-GGA optimized geometry
# Theoretical density   3.28 g/cm³
# Fermi-level density of states   6.31 states/eV/cell
# DFT formation energy   -0.09 eV per formula unit
data_Rb2Ba2Hg
_cell_length_a 9.110
_cell_length_b 9.110
_cell_length_c 7.891
_cell_angle_alpha 90.00
_cell_angle_beta 90.00
_cell_angle_gamma 90.00
_space_group_name_H-M_alt 'P 4/m b m'
_space_group_IT_number 127
_space_group_name_Hall '-P 4 2ab'
loop_
_atom_site_label
_atom_site_fract_x
_atom_site_fract_y
_atom_site_fract_z
Rb1 0.175 0.325 0.000
Ba1 0.171 0.671 0.500
Hg1 0.000 0.000 0.500

=====

# RbBaHg PBE-GGA optimized geometry
# Theoretical density   4.33 g/cm³
# Fermi-level density of states   10.69 states/eV/cell
# DFT formation energy   -0.86 eV per formula unit
data_RbBaHg
_cell_length_a 4.629
_cell_length_b 26.570
_cell_length_c 5.283
_cell_angle_alpha 90.00
_cell_angle_beta 90.00
_cell_angle_gamma 90.00
_space_group_name_H-M_alt 'C m c m'
_space_group_IT_number 63
_space_group_name_Hall '-C 2c 2'
loop_
_atom_site_label
_atom_site_fract_x
_atom_site_fract_y
_atom_site_fract_z
Rb1 0.000 0.185 0.250
Ba1 0.000 0.436 0.250
Hg1 0.000 0.039 0.250

=====

# Rb2BaHg8 PBE-GGA optimized geometry
# Theoretical density   8.55 g/cm³
# Fermi-level density of states   10.56 states/eV/cell
# DFT formation energy   -2.75 eV per formula unit
data_Rb2BaHg8
_cell_length_a 8.945
_cell_length_b 17.286
_cell_length_c 6.119
_cell_angle_alpha 90.00
_cell_angle_beta 128.23
_cell_angle_gamma 90.00
_space_group_name_H-M_alt 'C 1 2/m 1'
_space_group_IT_number 12
loop_
_space_group_symop_operation_xyz
'x,y,z'
'-x,-y,-z'
'-x,y,-z'
'x,-y,z'
'x+1/2,y+1/2,z'
'-x+1/2,-y+1/2,-z'
'-x+1/2,y+1/2,-z'
'x+1/2,-y+1/2,z'
loop_
_atom_site_label
_atom_site_fract_x
_atom_site_fract_y
_atom_site_fract_z
Rb1 0.000 0.188 0.000
Ba1 0.000 0.500 0.500
Hg1 0.000 0.292 0.500
Hg2 0.023 0.000 0.774
Hg3 0.220 0.379 0.255

=====

# RbBa3Hg4 PBE-GGA optimized geometry
# Theoretical density   7.10 g/cm³
# Fermi-level density of states   7.48 states/eV/cell
# DFT formation energy   -3.31 eV per formula unit
data_RbBa3Hg4
_cell_length_a 5.986
_cell_length_b 5.986
_cell_length_c 8.478
_cell_angle_alpha 90.00
_cell_angle_beta 90.00
_cell_angle_gamma 90.00
_space_group_name_H-M_alt 'P 4/m m m'
_space_group_IT_number 123
_space_group_name_Hall '-P 4 2'
loop_
_atom_site_label
_atom_site_fract_x
_atom_site_fract_y
_atom_site_fract_z
Rb1 0.000 0.000 0.000
Ba1 0.000 0.000 0.500
Ba2 0.500 0.500 0.000
Ba3 0.500 0.500 0.500
Hg1 0.000 0.500 0.262

=====

# Rb3BaHg PBE-GGA optimized geometry
# Theoretical density   1.45 g/cm³
# Fermi-level density of states   4.18 states/eV/cell
# DFT formation energy   2.19 eV per formula unit
data_Rb3BaHg
_cell_length_a 8.795
_cell_length_b 8.795
_cell_length_c 8.795
_cell_angle_alpha 90.00
_cell_angle_beta 90.00
_cell_angle_gamma 90.00
_space_group_name_H-M_alt 'P m -3 m'
_space_group_IT_number 221
_space_group_name_Hall '-P 4 2 3'
loop_
_atom_site_label
_atom_site_fract_x
_atom_site_fract_y
_atom_site_fract_z
Rb1 0.000 0.000 0.500
Ba1 0.000 0.000 0.000
Hg1 0.500 0.500 0.500

=====

# RbBaHg4 PBE-GGA optimized geometry
# Theoretical density   8.02 g/cm³
# Fermi-level density of states   4.27 states/eV/cell
# DFT formation energy   -2.13 eV per formula unit
data_RbBaHg4
_cell_length_a 4.362
_cell_length_b 5.314
_cell_length_c 9.162
_cell_angle_alpha 90.00
_cell_angle_beta 90.00
_cell_angle_gamma 90.00
_space_group_name_H-M_alt 'P m m m'
_space_group_IT_number 47
loop_
_space_group_symop_operation_xyz
'x,y,z'
'-x,-y,-z'
'-x,-y,z'
'x,y,-z'
'x,-y,-z'
'-x,y,z'
'-x,y,-z'
'x,-y,z'
loop_
_atom_site_label
_atom_site_fract_x
_atom_site_fract_y
_atom_site_fract_z
Rb1 0.000 0.000 0.000
Ba1 0.000 0.500 0.500
Hg1 0.500 0.000 0.336
Hg2 0.500 0.500 0.168

=====

# Rb3BaHg PBE-GGA optimized geometry
# Theoretical density   2.74 g/cm³
# Fermi-level density of states   3.58 states/eV/cell
# DFT formation energy   0.29 eV per formula unit
data_Rb3BaHg
_cell_length_a 7.116
_cell_length_b 7.116
_cell_length_c 7.116
_cell_angle_alpha 90.00
_cell_angle_beta 90.00
_cell_angle_gamma 90.00
_space_group_name_H-M_alt 'P m -3 m'
_space_group_IT_number 221
_space_group_name_Hall '-P 4 2 3'
loop_
_atom_site_label
_atom_site_fract_x
_atom_site_fract_y
_atom_site_fract_z
Rb1 0.000 0.000 0.500
Ba1 0.500 0.500 0.500
Hg1 0.000 0.000 0.000

=====

# Rb2BaHg4 PBE-GGA optimized geometry
# Theoretical density   6.84 g/cm³
# Fermi-level density of states   20.13 states/eV/cell
# DFT formation energy   -1.91 eV per formula unit
data_Rb2BaHg4
_cell_length_a 21.731
_cell_length_b 6.830
_cell_length_c 7.366
_cell_angle_alpha 90.00
_cell_angle_beta 99.68
_cell_angle_gamma 90.00
_space_group_name_H-M_alt 'C 1 2/c 1'
_space_group_IT_number 15
loop_
_space_group_symop_operation_xyz
'x,y,z'
'-x,-y,-z'
'-x,y,-z+1/2'
'x,-y,z+1/2'
'x+1/2,y+1/2,z'
'-x+1/2,-y+1/2,-z'
'-x+1/2,y+1/2,-z+1/2'
'x+1/2,-y+1/2,z+1/2'
loop_
_atom_site_label
_atom_site_fract_x
_atom_site_fract_y
_atom_site_fract_z
Rb1 0.195 0.084 0.169
Ba1 0.000 0.239 0.250
Hg1 0.070 0.240 0.787
Hg2 0.145 0.429 0.508

=====

# Rb12Ba3Hg5 PBE-GGA optimized geometry
# Theoretical density   2.53 g/cm³
# Fermi-level density of states   178.77 states/eV/cell
# DFT formation energy   2.57 eV per formula unit
data_Rb12Ba3Hg5
_cell_length_a 23.398
_cell_length_b 23.398
_cell_length_c 23.398
_cell_angle_alpha 90.00
_cell_angle_beta 90.00
_cell_angle_gamma 90.00
_space_group_name_H-M_alt 'I a -3 d'
_space_group_IT_number 230
_space_group_name_Hall '-I 4bd 2c 3'
loop_
_atom_site_label
_atom_site_fract_x
_atom_site_fract_y
_atom_site_fract_z
Rb1 0.042 0.057 0.637
Ba1 0.000 0.250 0.125
Hg1 0.000 0.000 0.000
Hg2 0.000 0.250 0.375

=====

# RbBaHg PBE-GGA optimized geometry
# Theoretical density   4.21 g/cm³
# Fermi-level density of states   14.46 states/eV/cell
# DFT formation energy   -0.51 eV per formula unit
data_RbBaHg
_cell_length_a 4.6773
_cell_length_b 4.6773
_cell_length_c 35.2326
_cell_angle_alpha 90.00
_cell_angle_beta 90.00
_cell_angle_gamma 120.00
_space_group_name_H-M_alt 'P -3 m 1'
_space_group_IT_number 164
_space_group_name_Hall '-P 3 2"'
loop_
_atom_site_label
_atom_site_fract_x
_atom_site_fract_y
_atom_site_fract_z
Rb1 0.3333 0.6667 0.2964
Rb2 0.3333 0.6667 0.4414
Ba1 0.3333 0.6667 0.8198
Ba2 0.3333 0.6667 0.9461
Hg1 0.3333 0.6667 0.1177
Hg2 0.3333 0.6667 0.6311

=====

# RbBaHg PBE-GGA optimized geometry
# Theoretical density   3.99 g/cm³
# Fermi-level density of states   3.11 states/eV/cell
# DFT formation energy   -0.48 eV per formula unit
data_RbBaHg
_cell_length_a 4.8613
_cell_length_b 4.8613
_cell_length_c 8.5997
_cell_angle_alpha 90.00
_cell_angle_beta 90.00
_cell_angle_gamma 120.00
_space_group_name_H-M_alt 'P 3 m 1'
_space_group_IT_number 156
loop_
_space_group_symop_operation_xyz
'x,y,z'
'-y,x-y,z'
'-x+y,-x,z'
'-y,-x,z'
'-x+y,y,z'
'x,x-y,z'
loop_
_atom_site_label
_atom_site_fract_x
_atom_site_fract_y
_atom_site_fract_z
Rb1 0.0000 0.0000 0.0000
Ba1 0.6667 0.3333 0.5074
Hg1 0.3333 0.6667 0.2842

=====

# RbBaHg17 PBE-GGA optimized geometry
# Theoretical density   10.69 g/cm³
# Fermi-level density of states   24.35 states/eV/cell
# DFT formation energy   -2.96 eV per formula unit
data_RbBaHg17
_cell_length_a 10.4944
_cell_length_b 10.4944
_cell_length_c 17.7519
_cell_angle_alpha 90.00
_cell_angle_beta 90.00
_cell_angle_gamma 120.00
_space_group_name_H-M_alt 'R 3 m'
_space_group_IT_number 160
_space_group_name_Hall 'R 3 -2"'
loop_
_atom_site_label
_atom_site_fract_x
_atom_site_fract_y
_atom_site_fract_z
Rb1 0.0000 0.0000 0.0000
Ba1 0.0000 0.0000 0.3263
Hg1 0.0000 0.0000 0.5353
Hg2 0.0000 0.0000 0.7117
Hg3 0.0348 0.3670 0.3139
Hg4 0.1811 0.3622 0.1192
Hg5 0.2008 0.4016 0.8413
Hg6 0.2016 0.4033 0.4925

=====

# Rb2BaHg2 PBE-GGA optimized geometry
# Theoretical density   4.64 g/cm³
# Fermi-level density of states   16.06 states/eV/cell
# DFT formation energy   -0.10 eV per formula unit
data_Rb2BaHg2
_cell_length_a 6.444
_cell_length_b 6.444
_cell_length_c 12.236
_cell_angle_alpha 90.00
_cell_angle_beta 90.00
_cell_angle_gamma 90.00
_space_group_name_H-M_alt 'I 4/m m m'
_space_group_IT_number 139
_space_group_name_Hall '-I 4 2'
loop_
_atom_site_label
_atom_site_fract_x
_atom_site_fract_y
_atom_site_fract_z
Rb1 0.000 0.000 0.145
Ba1 0.000 0.000 0.500
Hg1 0.000 0.500 0.250